## 1
This record from the Alexandria database describes a PBEsol-optimized structure of NaSiHg3. The functional is SCAN.

abc: 5.076 5.076 5.076
angles: 90.00 90.00 90.00
Sites, in units of the cell vectors:
Na 0.000 0.000 0.000
Si 0.500 0.500 0.500
Hg 0.000 0.500 0.500
Hg 0.500 0.000 0.500
Hg 0.500 0.500 0.000

Computed properties:
volume: 130.8 Å³/cell
M_tot: 0.0000 μB per atom

## 2
This record from the Alexandria database describes a PBEsol-optimized structure of NaSiHg3. The functional is SCAN.

abc: 5.192 5.192 5.192
angles: 90.00 90.00 90.00
Sites, in units of the cell vectors:
Na 0.000 0.000 0.000
Si 0.500 0.500 0.500
Hg 0.000 0.000 0.500
Hg 0.000 0.500 0.000
Hg 0.500 0.000 0.000

Computed properties:
volume: 140.0 Å³/cell
M_tot: 0.0001 μB per atom

So which one is most stable? That would be 1, about 730 meV/atom below the next structure.

## 1
This record from the Alexandria database describes a PBEsol-optimized structure of Na2SrHg2. The functional is SCAN.

abc: 8.297 8.297 4.335
angles: 90.00 90.00 90.00
Sites, in units of the cell vectors:
Na 0.161 0.339 0.000
Na 0.339 0.839 0.000
Na 0.661 0.161 0.000
Na 0.839 0.661 0.000
Sr 0.000 0.000 0.500
Sr 0.500 0.500 0.500
Hg 0.127 0.627 0.500
Hg 0.373 0.127 0.500
Hg 0.627 0.873 0.500
Hg 0.873 0.373 0.500

Computed properties:
volume: 298.4 Å³/cell
M_tot: 0.0000 μB per atom

## 2
This record from the Alexandria database describes a PBEsol-optimized structure of Na2SrHg2. The functional is SCAN.

abc: 4.490 4.490 14.440
angles: 90.00 90.00 90.00
Sites, in units of the cell vectors:
Na 0.000 0.500 0.250
Na 0.000 0.500 0.750
Na 0.500 0.000 0.250
Na 0.500 0.000 0.750
Sr 0.000 0.000 0.000
Sr 0.500 0.500 0.500
Hg 0.000 0.000 0.400
Hg 0.000 0.000 0.600
Hg 0.500 0.500 0.100
Hg 0.500 0.500 0.900

Computed properties:
volume: 291.1 Å³/cell
M_tot: 0.0000 μB per atom

So which one is most stable? That would be 2, about 67 meV/atom below the next structure.

## 1
This record from the Alexandria database describes a PBEsol-optimized structure of Nb3HgRh. The functional is SCAN.

abc: 4.765 4.765 4.765
angles: 90.00 90.00 90.00
Sites, in units of the cell vectors:
Nb 0.000 0.000 0.500
Nb 0.000 0.500 0.000
Nb 0.500 0.000 0.000
Hg 0.500 0.500 0.500
Rh 0.000 0.000 0.000

Computed properties:
volume: 108.2 Å³/cell
M_tot: 0.0000 μB per atom

## 2
This record from the Alexandria database describes a PBEsol-optimized structure of Nb3HgRh. The functional is SCAN.

abc: 4.917 4.917 4.917
angles: 90.00 90.00 90.00
Sites, in units of the cell vectors:
Nb 0.000 0.000 0.500
Nb 0.000 0.500 0.000
Nb 0.500 0.000 0.000
Hg 0.000 0.000 0.000
Rh 0.500 0.500 0.500

Computed properties:
volume: 118.9 Å³/cell
M_tot: 0.5382 μB per atom

So which one is most stable? That would be 1, about 1267 meV/atom below the next structure.

## 1
This record from the Alexandria database describes a PBEsol-optimized structure of NiHg3. The functional is SCAN.

abc: 2.896 4.410 12.335
angles: 90.00 90.00 90.00
Sites, in units of the cell vectors:
Ni 0.000 0.000 0.000
Ni 0.500 0.500 0.500
Hg 0.000 0.000 0.500
Hg 0.000 0.500 0.317
Hg 0.000 0.500 0.683
Hg 0.500 0.000 0.183
Hg 0.500 0.000 0.817
Hg 0.500 0.500 0.000

Computed properties:
volume: 157.5 Å³/cell
M_tot: 0.0000 μB per atom

## 2
This record from the Alexandria database describes a PBEsol-optimized structure of NiHg3. The functional is SCAN.

abc: 4.104 4.104 8.652
angles: 90.00 90.00 90.00
Sites, in units of the cell vectors:
Ni 0.000 0.000 0.000
Ni 0.500 0.500 0.500
Hg 0.000 0.000 0.500
Hg 0.000 0.500 0.250
Hg 0.000 0.500 0.750
Hg 0.500 0.000 0.250
Hg 0.500 0.000 0.750
Hg 0.500 0.500 0.000

Computed properties:
volume: 145.7 Å³/cell
M_tot: 0.0000 μB per atom

So which one is most stable? That would be 1, about 241 meV/atom below the next structure.

## 1
This record from the Alexandria database describes a PBEsol-optimized structure of NiHg2Os. The functional is SCAN.

abc: 2.791 4.743 9.845
angles: 90.00 90.00 90.00
Sites, in units of the cell vectors:
Ni 0.000 0.000 0.000
Ni 0.500 0.500 0.500
Hg 0.000 0.000 0.529
Hg 0.000 0.500 0.747
Hg 0.500 0.000 0.247
Hg 0.500 0.500 0.029
Os 0.000 0.500 0.295
Os 0.500 0.000 0.795

Computed properties:
volume: 130.3 Å³/cell
M_tot: 0.0002 μB per atom

## 2
This record from the Alexandria database describes a PBEsol-optimized structure of NiHg2Os. The functional is SCAN.

abc: 4.020 4.020 7.940
angles: 90.00 90.00 90.00
Sites, in units of the cell vectors:
Ni 0.000 0.000 0.000
Ni 0.500 0.500 0.500
Hg 0.000 0.000 0.500
Hg 0.000 0.500 0.750
Hg 0.500 0.000 0.250
Hg 0.500 0.500 0.000
Os 0.000 0.500 0.250
Os 0.500 0.000 0.750

Computed properties:
volume: 128.3 Å³/cell
M_tot: 0.4629 μB per atom

So which one is most stable? That would be 1, about 178 meV/atom below the next structure.

## 1
This record from the Alexandria database describes a PBEsol-optimized structure of NiHgRu. The functional is SCAN.

abc: 2.784 2.784 6.523
angles: 90.00 90.00 120.00
Sites, in units of the cell vectors:
Ni 0.000 0.000 0.000
Hg 0.333 0.667 0.341
Ru 0.667 0.333 0.714

Computed properties:
volume: 43.8 Å³/cell
M_tot: 0.0000 μB per atom

## 2
This record from the Alexandria database describes a PBEsol-optimized structure of NiHgRu. The functional is SCAN.

abc: 5.803 5.803 5.803
angles: 90.00 90.00 90.00
Sites, in units of the cell vectors:
Ni 0.000 0.000 0.000
Ni 0.000 0.500 0.500
Ni 0.500 0.000 0.500
Ni 0.500 0.500 0.000
Hg 0.250 0.250 0.250
Hg 0.250 0.750 0.750
Hg 0.750 0.250 0.750
Hg 0.750 0.750 0.250
Ru 0.250 0.250 0.750
Ru 0.250 0.750 0.250
Ru 0.750 0.250 0.250
Ru 0.750 0.750 0.750

Computed properties:
volume: 195.4 Å³/cell
M_tot: 0.7029 μB per atom

So which one is most stable? That would be 1, about 86 meV/atom below the next structure.

## 1
This record from the Alexandria database describes a PBEsol-optimized structure of NiHgSe. The functional is SCAN.

abc: 6.031 6.031 6.031
angles: 90.00 90.00 90.00
Sites, in units of the cell vectors:
Ni 0.000 0.000 0.000
Ni 0.000 0.500 0.500
Ni 0.500 0.000 0.500
Ni 0.500 0.500 0.000
Hg 0.250 0.250 0.750
Hg 0.250 0.750 0.250
Hg 0.750 0.250 0.250
Hg 0.750 0.750 0.750
Se 0.250 0.250 0.250
Se 0.250 0.750 0.750
Se 0.750 0.250 0.750
Se 0.750 0.750 0.250

Computed properties:
volume: 219.3 Å³/cell
M_tot: 0.0002 μB per atom

## 2
This record from the Alexandria database describes a PBEsol-optimized structure of NiHgSe. The functional is SCAN.

abc: 3.359 3.359 5.587
angles: 90.00 90.00 120.00
Sites, in units of the cell vectors:
Ni 0.000 0.000 0.000
Hg 0.333 0.667 0.334
Se 0.667 0.333 0.779

Computed properties:
volume: 54.6 Å³/cell
M_tot: 0.0002 μB per atom

So which one is most stable? That would be 2, about 170 meV/atom below the next structure.

## 1
This record from the Alexandria database describes a PBEsol-optimized structure of Ni2HgSe2. The functional is SCAN.

abc: 4.667 4.667 7.939
angles: 90.00 90.00 90.00
Sites, in units of the cell vectors:
Ni 0.000 0.000 0.169
Ni 0.000 0.000 0.831
Ni 0.500 0.500 0.331
Ni 0.500 0.500 0.669
Hg 0.000 0.000 0.500
Hg 0.500 0.500 0.000
Se 0.000 0.500 0.250
Se 0.000 0.500 0.750
Se 0.500 0.000 0.250
Se 0.500 0.000 0.750

Computed properties:
volume: 172.9 Å³/cell
M_tot: 0.0002 μB per atom

## 2
This record from the Alexandria database describes a PBEsol-optimized structure of Ni2HgSe2. The functional is SCAN.

abc: 3.697 3.697 13.965
angles: 90.00 90.00 90.00
Sites, in units of the cell vectors:
Ni 0.000 0.500 0.250
Ni 0.000 0.500 0.750
Ni 0.500 0.000 0.250
Ni 0.500 0.000 0.750
Hg 0.000 0.000 0.000
Hg 0.500 0.500 0.500
Se 0.000 0.000 0.351
Se 0.000 0.000 0.649
Se 0.500 0.500 0.149
Se 0.500 0.500 0.851

Computed properties:
volume: 190.9 Å³/cell
M_tot: 0.0001 μB per atom

So which one is most stable? That would be 2, about 274 meV/atom below the next structure.

## 1
This record from the Alexandria database describes a PBEsol-optimized structure of Ni2HgTe. The functional is SCAN.

abc: 4.416 4.416 3.249
angles: 90.00 90.00 90.00
Sites, in units of the cell vectors:
Ni 0.000 0.500 0.000
Ni 0.500 0.000 0.000
Hg 0.000 0.000 0.500
Te 0.500 0.500 0.500

Computed properties:
volume: 63.4 Å³/cell
M_tot: 0.0000 μB per atom

## 2
This record from the Alexandria database describes a PBEsol-optimized structure of Ni2HgTe. The functional is SCAN.

abc: 3.748 3.748 9.182
angles: 90.00 90.00 90.00
Sites, in units of the cell vectors:
Ni 0.000 0.000 0.000
Ni 0.000 0.500 0.250
Ni 0.500 0.000 0.750
Ni 0.500 0.500 0.500
Hg 0.000 0.500 0.750
Hg 0.500 0.000 0.250
Te 0.000 0.000 0.500
Te 0.500 0.500 0.000

Computed properties:
volume: 129.0 Å³/cell
M_tot: 0.0003 μB per atom

So which one is most stable? That would be 1, about 70 meV/atom below the next structure.

## 1
This record from the Alexandria database describes a PBEsol-optimized structure of TlNi2Hg. The functional is SCAN.

abc: 3.143 3.143 6.206
angles: 90.00 90.00 90.00
Sites, in units of the cell vectors:
Tl 0.000 0.000 0.000
Ni 0.500 0.500 0.249
Ni 0.500 0.500 0.751
Hg 0.000 0.000 0.500

Computed properties:
volume: 61.3 Å³/cell
M_tot: 0.0000 μB per atom

## 2
This record from the Alexandria database describes a PBEsol-optimized structure of TlNi2Hg. The functional is SCAN.

abc: 8.019 3.134 5.321
angles: 90.00 103.44 90.00
Sites, in units of the cell vectors:
Tl 0.000 0.000 0.000
Tl 0.500 0.500 0.000
Ni 0.250 0.000 0.746
Ni 0.250 0.500 0.254
Ni 0.750 0.000 0.254
Ni 0.750 0.500 0.746
Hg 0.000 0.500 0.500
Hg 0.500 0.000 0.500

Computed properties:
volume: 130.1 Å³/cell
M_tot: 0.0000 μB per atom

So which one is most stable? That would be 1, about 52 meV/atom below the next structure.

## 1
This record from the Alexandria database describes a PBEsol-optimized structure of NiHg2W. The functional is SCAN.

abc: 8.860 2.845 5.389
angles: 90.00 98.18 90.00
Sites, in units of the cell vectors:
Ni 0.000 0.000 0.000
Ni 0.500 0.500 0.000
Hg 0.009 0.500 0.561
Hg 0.248 0.500 0.280
Hg 0.509 0.000 0.561
Hg 0.748 0.000 0.280
W 0.263 0.000 0.827
W 0.763 0.500 0.827

Computed properties:
volume: 134.5 Å³/cell
M_tot: 0.0000 μB per atom

## 2
This record from the Alexandria database describes a PBEsol-optimized structure of NiHg2W. The functional is SCAN.

abc: 2.925 4.778 4.781
angles: 90.00 90.00 90.00
Sites, in units of the cell vectors:
Ni 0.000 0.000 0.000
Hg 0.000 0.500 0.500
Hg 0.500 0.500 0.000
W 0.500 0.000 0.500

Computed properties:
volume: 66.8 Å³/cell
M_tot: 0.0006 μB per atom

So which one is most stable? That would be 1, about 169 meV/atom below the next structure.

## 1
This record from the Alexandria database describes a PBEsol-optimized structure of NiHg2W. The functional is SCAN.

abc: 6.417 6.417 6.417
angles: 90.00 90.00 90.00
Sites, in units of the cell vectors:
Ni 0.000 0.000 0.000
Ni 0.000 0.500 0.500
Ni 0.500 0.000 0.500
Ni 0.500 0.500 0.000
Hg 0.000 0.000 0.500
Hg 0.000 0.500 0.000
Hg 0.250 0.250 0.250
Hg 0.250 0.750 0.750
Hg 0.500 0.000 0.000
Hg 0.500 0.500 0.500
Hg 0.750 0.250 0.750
Hg 0.750 0.750 0.250
W 0.250 0.250 0.750
W 0.250 0.750 0.250
W 0.750 0.250 0.250
W 0.750 0.750 0.750

Computed properties:
volume: 264.3 Å³/cell
M_tot: 0.1772 μB per atom

## 2
This record from the Alexandria database describes a PBEsol-optimized structure of NiHg2W. The functional is SCAN.

abc: 2.872 2.872 8.036
angles: 90.00 90.00 90.00
Sites, in units of the cell vectors:
Ni 0.000 0.000 0.000
Hg 0.000 0.000 0.459
Hg 0.500 0.500 0.768
W 0.500 0.500 0.188

Computed properties:
volume: 66.3 Å³/cell
M_tot: 0.0000 μB per atom

## 3
This record from the Alexandria database describes a PBEsol-optimized structure of NiHg2W. The functional is SCAN.

abc: 5.835 8.148 2.778
angles: 90.00 90.00 90.00
Sites, in units of the cell vectors:
Ni 0.000 0.000 0.000
Ni 0.500 0.500 0.000
Hg 0.250 0.250 0.500
Hg 0.250 0.750 0.500
Hg 0.750 0.250 0.500
Hg 0.750 0.750 0.500
W 0.000 0.500 0.000
W 0.500 0.000 0.000

Computed properties:
volume: 132.1 Å³/cell
M_tot: 0.3852 μB per atom

So which one is most stable? That would be 2, about 353 meV/atom below the next structure.